The following is a DFT calculation (PBE) of a relaxed Zn2PF crystal.

Energy relative to the lowest polymorph listed for this composition ... 0 meV/atom
Volume ... 128.9 Å³/cell
Formation energy from raw total energies ... -346 kJ/mol of formula units
Space group ... Pmn2_1 (31)

Geometry as POSCAR:
```
Zn2PF
1.0
4.016 0.000 0.000
0.000 8.363 0.000
0.000 0.000 3.837
Zn P F
4 2 2
direct
0.000 0.034 0.000
0.000 0.642 0.016
0.500 0.358 0.516
0.500 0.966 0.500
0.000 0.821 0.515
0.500 0.179 0.015
0.000 0.448 0.394
0.500 0.552 0.894
```

The following is a DFT calculation (PBE) of a relaxed V2Te5 crystal.

Volume ... 433.9 Å³/cell
Formation energy from raw total energies ... -66 kJ/mol of formula units
Space group ... C2/m (12)

Geometry as POSCAR:
```
V2Te5
1.0
14.676 0.000 0.000
0.000 3.973 0.000
-5.751 0.000 7.442
V Te
4 10
direct
0.142 0.000 0.413
0.358 0.500 0.587
0.642 0.500 0.413
0.858 0.000 0.587
0.000 0.500 0.500
0.086 0.000 0.804
0.165 0.500 0.248
0.335 0.000 0.752
0.414 0.500 0.196
0.500 0.000 0.500
0.586 0.500 0.804
0.665 0.000 0.248
0.835 0.500 0.752
0.914 0.000 0.196
```

The following is a DFT calculation (PBE) of a relaxed TbNd5 crystal.

Volume ... 416.3 Å³/cell
Energy relative to the elements ... 0.013 eV per atom
Space group ... Pmmn (59)

Geometry as POSCAR:
```
TbNd5
1.0
5.187 0.000 0.000
0.000 10.967 0.000
0.000 0.000 7.319
Tb Nd
2 10
direct
0.250 0.250 0.124
0.750 0.750 0.876
0.250 0.250 0.626
0.250 0.583 0.124
0.250 0.584 0.626
0.250 0.916 0.626
0.250 0.917 0.124
0.750 0.083 0.876
0.750 0.084 0.374
0.750 0.416 0.374
0.750 0.417 0.876
0.750 0.750 0.374
```